No. 1
Density functional theory data (PBE) for an optimized crystal structure of EuCdNi.

For the total DFT energy (no corrections), the calculation gives -5.72 eV per atom.

It has space group I4mm (No. 107), with a = 3.4109 Å, b = 3.4109 Å, c = 11.2602 Å, α = 90.00°, β = 90.00° and γ = 90.00°. The distinct sites, in fractional coordinates, are Eu at (0.0000, 0.0000, 0.0000), Cd at (0.0000, 0.0000, 0.2833) and Ni at (0.0000, 0.0000, 0.6656).


No. 2
Density functional theory data (PBE) for an optimized crystal structure of Nd2TiN3.

For the total DFT energy (no corrections), the calculation gives -8.47 eV per atom. For the formation energy from raw total energies, the calculation gives -1.406 eV/atom.

It has space group C2/c (No. 15), with a = 5.6410 Å, b = 10.9954 Å, c = 11.9714 Å, α = 90.00°, β = 93.07° and γ = 90.00°. The distinct sites, in fractional coordinates, are Nd at (0.2250, 0.1131, 0.4258), Nd at (0.2311, 0.2023, 0.8522), Ti at (0.2172, 0.4985, 0.8328), N at (0.0000, 0.0098, 0.7500), N at (0.0000, 0.3798, 0.7500), N at (0.1720, 0.3297, 0.3743) and N at (0.2107, 0.0984, 0.0383).


No. 3
Density functional theory data (PBE) for an optimized crystal structure of Ba2CdNiPb6.

For the total DFT energy (no corrections), the calculation gives -3.46 eV per atom.

It has space group R-3m (No. 166, hexagonal axes), with a = 7.4942 Å, b = 7.4942 Å, c = 41.0485 Å, α = 90.00°, β = 90.00° and γ = 120.00°. The distinct sites, in fractional coordinates, are Ba at (0.0000, 0.0000, 0.1104), Ba at (0.0000, 0.0000, 0.2817), Cd at (0.0000, 0.0000, 0.4255), Ni at (0.0000, 0.0000, 0.0000), Ni at (0.0000, 0.0000, 0.5000), Pb at (0.0259, 0.5130, 0.3008) and Pb at (0.0392, 0.5196, 0.8628).


No. 4
Density functional theory data (PBE) for an optimized crystal structure of MgH.

For the total DFT energy (no corrections), the calculation gives -2.30 eV per atom.

It has space group C2 (No. 5), with a = 4.6218 Å, b = 4.6098 Å, c = 3.3183 Å, α = 90.00°, β = 133.72° and γ = 90.00°. The distinct sites, in fractional coordinates, are Mg at (0.0000, 0.0000, 0.0000) and H at (0.0000, 0.7479, 0.5000).


No. 5
Density functional theory data (PBE) for an optimized crystal structure of SrPr2NbN4.

For the total DFT energy (no corrections), the calculation gives -7.88 eV per atom. For the formation energy from raw total energies, the calculation gives -1.058 eV/atom.

It has space group Cmcm (No. 63), with a = 3.5697 Å, b = 12.5950 Å, c = 12.7304 Å, α = 90.00°, β = 90.00° and γ = 90.00°. The distinct sites, in fractional coordinates, are Sr at (0.0000, 0.0981, 0.2500), Pr at (0.0000, 0.3702, 0.0343), Nb at (0.0000, 0.1704, 0.7500), N at (0.0000, 0.0000, 0.0000), N at (0.0000, 0.2634, 0.6296) and N at (0.0000, 0.4160, 0.2500).


No. 6
Density functional theory data (PBE) for an optimized crystal structure of Li17Ca2Mg3.

For the total DFT energy (no corrections), the calculation gives -1.77 eV per atom.

It has space group R-3m (No. 166, hexagonal axes), with a = 11.0147 Å, b = 11.0147 Å, c = 15.0336 Å, α = 90.00°, β = 90.00° and γ = 120.00°. The distinct sites, in fractional coordinates, are Li at (0.0000, 0.0000, 0.1004), Li at (0.0000, 0.2504, 0.0000), Li at (0.0000, 0.5000, 0.5000), Li at (0.0358, 0.5179, 0.1879), Ca at (0.0000, 0.0000, 0.3354) and Mg at (0.0000, 0.5000, 0.0000).